This record from the Alexandria database describes a geometry-optimized PmAg2IO6 structure. The functional is PBE.

The structure in CIF format:
```
data_PmAg2IO6
_chemical_formula_sum 'Pm3 Ag6 I3 O18'
_cell_length_a 5.7701
_cell_length_b 5.7701
_cell_length_c 14.5665
_cell_angle_alpha 90.00
_cell_angle_beta 90.00
_cell_angle_gamma 120.00
_space_group_name_H-M_alt 'R -3'
_space_group_IT_number 148
_space_group_name_Hall '-R 3'
loop_
_atom_site_label
_atom_site_type_symbol
_atom_site_fract_x
_atom_site_fract_y
_atom_site_fract_z
Pm1 Pm 0.0000 0.0000 0.0000
Ag1 Ag 0.0000 0.0000 0.2486
I1 I 0.0000 0.0000 0.5000
O1 O 0.0405 0.4244 0.2425
```

Summary:
Formation energy from raw total energies   -10.29 eV/f.u.
Magnetic moment   0.0 μB per cell
Total energy   -0.3825 Ry per atom
Crystal system   trigonal